Density functional theory data (PBEsol) for a relaxed structure of La4ZrRu.

Results
Spin magnetization (μB per formula unit): 1.089
Energy (eV per atom): -5.909
D(E_F) (states/eV/cell): 12.15
Energy of formation from the pure elements (eV per formula unit): 5.19

Lattice parameters (Å, degrees): 6.1088 6.1088 6.1088 60.00 60.00 60.00
Last column: magnetic moment on the atom in μB.
Fractional positions:
La  0.3767  0.3767  0.8700  -0.04
Zr  0.0000  0.0000  0.0000  -0.37
La  0.8700  0.3767  0.3767  -0.04
La  0.3767  0.8700  0.3767  -0.04
Ru  0.7500  0.7500  0.7500  -0.20
La  0.3767  0.3767  0.3767  -0.04